# HoZrHgOs | the Alexandria database | GGA-PBE | relaxed
# - Volume: 20.79 Å³ per atom
# - Total energy: -6.37 eV per atom
# - Magnetic moment: 0.0000 μB/atom
# - Calculated formation energy: -0.207 eV/atom
data_HoZrHgOs
_chemical_formula_sum 'Ho4 Zr4 Hg4 Os4'
_symmetry_space_group_name_H-M 'F -4 3 m'
_symmetry_Int_Tables_number 216
_symmetry_space_group_name_Hall 'F -4 2 3'
_cell_length_a 6.929
_cell_length_b 6.929
_cell_length_c 6.929
_cell_angle_alpha 90.00
_cell_angle_beta 90.00
_cell_angle_gamma 90.00
loop_
_atom_site_label
_atom_site_type_symbol
_atom_site_fract_x
_atom_site_fract_y
_atom_site_fract_z
_atom_site_occupancy
Ho1 Ho 0.000 0.000 0.000 1
Zr1 Zr 0.000 0.000 0.500 1
Hg1 Hg 0.250 0.250 0.250 1
Os1 Os 0.250 0.250 0.750 1